(1)
Below is an optimized crystal structure of RbCeSe4, with properties calculated at the PBE level.

Unit cell a=9.017 b=9.017 c=11.449 alpha=90.00 beta=90.00 gamma=90.00
Space group P4/mmm (No. 123)
Unique sites:
Rb1 0.000 0.500 0.000
Ce1 0.000 0.500 0.500
Se1 0.000 0.364 0.278

Summary:
- E: -4.068 eV per atom
- E_form (uncorrected): -594.6 meV per atom
- Relative energy among the computed polymorphs: 546 meV per atom
- Theoretical density: 1.93 g cm⁻³

=====

(2)
Below is an optimized crystal structure of Rb3CeSe4, with properties calculated at the PBE level.

Unit cell a=8.245 b=10.140 c=7.873 alpha=90.00 beta=111.25 gamma=90.00
Space group P2/c (No. 13)
Unique sites:
Rb1 0.000 0.140 0.250
Rb2 0.000 0.339 0.750
Rb3 0.500 0.359 0.250
Ce1 0.500 0.098 0.750
Se1 0.293 0.088 0.986
Se2 0.324 0.334 0.585

Summary:
- E: -4.110 eV per atom
- E_form (uncorrected): -1263.1 meV per atom
- Theoretical density: 3.86 g cm⁻³

=====

(3)
Below is an optimized crystal structure of RbCe4Se6, with properties calculated at the PBE level.

Unit cell a=8.166 b=8.166 c=10.413 alpha=90.00 beta=90.00 gamma=90.00
Space group I-42m (No. 121)
Unique sites:
Rb1 0.000 0.000 0.000
Ce1 0.187 0.187 0.599
Se1 0.000 0.500 0.000
Se2 0.153 0.153 0.310

Summary:
- E: -5.597 eV per atom
- E_form (uncorrected): -1450.1 meV per atom
- Relative energy among the computed polymorphs: 271 meV per atom
- Theoretical density: 5.36 g cm⁻³

=====

(4)
Below is an optimized crystal structure of RbCe2Se4, with properties calculated at the PBE level.

Unit cell a=8.852 b=8.973 c=12.533 alpha=90.00 beta=90.00 gamma=90.00
Space group Imma (No. 74)
Unique sites:
Rb1 0.250 0.250 0.250
Ce1 0.000 0.000 0.000
Ce2 0.250 0.250 0.750
Se1 0.000 0.035 0.766
Se2 0.214 0.250 0.982

Summary:
- E: -5.459 eV per atom
- E_form (uncorrected): -1634.1 meV per atom
- Relative energy among the computed polymorphs: 7 meV per atom
- Theoretical density: 4.55 g cm⁻³

=====

(5)
Below is an optimized crystal structure of RbCeSe4, with properties calculated at the PBE level.

Unit cell a=6.401 b=6.401 c=8.763 alpha=90.00 beta=90.00 gamma=90.00
Space group P4/nbm (No. 125, origin choice 2)
Unique sites:
Rb1 0.250 0.250 0.000
Ce1 0.250 0.250 0.500
Se1 0.114 0.614 0.299

Summary:
- E: -4.614 eV per atom
- E_form (uncorrected): -1140.6 meV per atom
- Relative energy among the computed polymorphs: 0 meV per atom
- Theoretical density: 5.01 g cm⁻³

=====

(6)
Below is an optimized crystal structure of RbCe6Se8, with properties calculated at the PBE level.

Unit cell a=11.3595 b=11.3595 c=4.3274 alpha=90.00 beta=90.00 gamma=120.00
Space group P-3 (No. 147)
Unique sites:
Rb1 0.0000 0.0000 0.0000
Ce1 0.1390 0.6592 0.2513
Se1 0.0426 0.3540 0.2483
Se2 0.3333 0.6667 0.7510

Summary:
- E: -5.956 eV per atom
- E_form (uncorrected): -1659.4 meV per atom
- Theoretical density: 5.35 g cm⁻³

=====

(7)
Below is an optimized crystal structure of Rb3Ce4Se8, with properties calculated at the PBE level.

Unit cell a=12.544 b=12.705 c=8.755 alpha=90.00 beta=133.15 gamma=90.00
Space group C2/m (No. 12)
Unique sites:
Rb1 0.000 0.000 0.000
Rb2 0.250 0.250 0.000
Ce1 0.000 0.500 0.000
Ce2 0.000 0.500 0.500
Ce3 0.250 0.250 0.500
Se1 0.000 0.269 0.000
Se2 0.000 0.270 0.500
Se3 0.196 0.500 0.941
Se4 0.226 0.500 0.471

Summary:
- E: -5.135 eV per atom
- E_form (uncorrected): -1500.5 meV per atom
- Theoretical density: 4.73 g cm⁻³

=====

(8)
Below is an optimized crystal structure of RbCe2Se3, with properties calculated at the PBE level.

Unit cell a=4.2810 b=4.2810 c=23.1032 alpha=90.00 beta=90.00 gamma=120.00
Space group P6_3/mmc (No. 194)
Unique sites:
Rb1 0.0000 0.0000 0.2500
Ce1 0.3333 0.6667 0.0743
Se1 0.0000 0.0000 0.0000
Se2 0.3333 0.6667 0.6453

Summary:
- E: -5.588 eV per atom
- E_form (uncorrected): -1706.2 meV per atom
- Theoretical density: 5.46 g cm⁻³

=====

(9)
Below is an optimized crystal structure of RbCe4Se6, with properties calculated at the PBE level.

Unit cell a=4.295 b=14.141 c=22.204 alpha=90.00 beta=90.00 gamma=90.00
Space group Cmcm (No. 63)
Unique sites:
Rb1 0.000 0.158 0.250
Ce1 0.000 0.097 0.630
Ce2 0.000 0.365 0.541
Se1 0.000 0.000 0.000
Se2 0.000 0.156 0.750
Se3 0.000 0.270 0.082
Se4 0.000 0.464 0.653

Summary:
- E: -5.867 eV per atom
- E_form (uncorrected): -1721.0 meV per atom
- Relative energy among the computed polymorphs: 0 meV per atom
- Theoretical density: 5.51 g cm⁻³

=====

(10)
Below is an optimized crystal structure of Rb5CeSe4, with properties calculated at the PBE level.

Unit cell a=20.812 b=4.843 c=8.904 alpha=90.00 beta=115.07 gamma=90.00
Space group C2/m (No. 12)
Unique sites:
Rb1 0.000 0.000 0.000
Rb2 0.172 0.500 0.422
Rb3 0.172 0.500 0.921
Ce1 0.000 0.000 0.500
Se1 0.000 0.500 0.280
Se2 0.167 0.000 0.667

Summary:
- E: -3.659 eV per atom
- E_form (uncorrected): -1187.7 meV per atom
- Theoretical density: 3.61 g cm⁻³

=====

(11)
Below is an optimized crystal structure of Rb3CeSe3, with properties calculated at the PBE level.

Unit cell a=9.639 b=14.889 c=8.604 alpha=90.00 beta=98.63 gamma=90.00
Space group C2/m (No. 12)
Unique sites:
Rb1 0.000 0.181 0.000
Rb2 0.000 0.246 0.500
Rb3 0.121 0.500 0.869
Ce1 0.189 0.000 0.637
Se1 0.093 0.000 0.301
Se2 0.180 0.349 0.224

Summary:
- E: -4.074 eV per atom
- E_form (uncorrected): -1318.4 meV per atom
- Theoretical density: 3.45 g cm⁻³

=====

(12)
Below is an optimized crystal structure of Rb2CeSe4, with properties calculated at the PBE level.

Unit cell a=7.829 b=4.414 c=8.391 alpha=90.00 beta=111.79 gamma=90.00
Space group P2/m (No. 10)
Unique sites:
Rb1 0.195 0.000 0.324
Ce1 0.500 0.500 0.000
Se1 0.100 0.500 0.921
Se2 0.417 0.000 0.764

Summary:
- E: -4.270 eV per atom
- E_form (uncorrected): -1154.5 meV per atom
- Theoretical density: 3.87 g cm⁻³